## MgSbBr (PBE)

Data for a relaxed MgSbBr crystal.

Calculated values
density = 4.26 Mg/m³
raw formation energy = -0.0078 eV per atom
SG = F-43m
E = -2.47 eV per atom

Unit cell a=4.9951 b=4.9951 c=4.9951 alpha=60.00 beta=60.00 gamma=60.00
Sites, in units of the cell vectors:
Mg: 0.0000 0.0000 0.0000
Sb: 0.7500 0.7500 0.7500
Br: 0.2500 0.2500 0.2500

***

## Ce2ErTm3Sb6 (PBE)

Data for a relaxed Ce2ErTm3Sb6 crystal.

Calculated values
density = 7.77 Mg/m³
raw formation energy = -1.0623 eV per atom
SG = C2/m
E = -5.61 eV per atom

Unit cell a=9.8152 b=9.8152 c=8.7812 alpha=102.82 beta=102.82 gamma=25.92
Sites, in units of the cell vectors:
Ce: 0.1654 0.1654 0.3314
Ce: 0.8346 0.8346 0.6686
Er: 0.5000 0.5000 0.0000
Tm: 0.1675 0.1675 0.8341
Tm: 0.5000 0.5000 0.5000
Tm: 0.8325 0.8325 0.1659
Sb: 0.0028 0.0028 0.7507
Sb: 0.3336 0.3336 0.9238
Sb: 0.3352 0.3352 0.4114
Sb: 0.6648 0.6648 0.5886
Sb: 0.6664 0.6664 0.0762
Sb: 0.9972 0.9972 0.2493

***

## La2PmSmEr4 (PBE)

Data for a relaxed La2PmSmEr4 crystal.

Calculated values
density = 7.86 Mg/m³
SG = P2/m
E = -4.68 eV per atom
DFT formation energy = 0.02 eV per atom

Unit cell a=6.2455 b=3.6139 c=11.8174 alpha=90.00 beta=100.21 gamma=90.00
Sites, in units of the cell vectors:
La: 0.0000 0.0000 0.0000
La: 0.0000 0.5000 0.5000
Pm: 0.5000 0.0000 0.5000
Sm: 0.5000 0.5000 0.0000
Er: 0.2510 0.0000 0.7506
Er: 0.2507 0.5000 0.2504
Er: 0.7490 0.0000 0.2494
Er: 0.7493 0.5000 0.7496